BaSc2Cd: optimized geometry, GGA-PBE.

Values from the calculation:
Its crystal system is monoclinic. Its calculated volume is 118.36 Å³ per cell.

Cell lengths 6.0156, 6.7832, 3.3593 Å; angles 76.10, 89.05, 116.06 degrees
Last column: nearest neighbours and their distance in Å.
Fractional coordinates of all 4 atoms:
Sc  0.5000  0.0000  0.5000  6 Sc 3.36-3.47, 2 Ba 3.40, 2 Cd 3.40
Sc  0.0000  0.0000  0.0000  6 Sc 3.36-3.47, 2 Cd 3.40, 2 Ba 3.40
Ba  0.0000  0.5000  0.5000  2 Ba 3.36, 4 Sc 3.40, 4 Cd 3.42-3.47
Cd  0.5000  0.5000  0.0000  2 Cd 3.36, 4 Sc 3.40, 4 Ba 3.42-3.47

***

BaScCd2: optimized geometry, GGA-PBE.

Values from the calculation:
Its energy above the most stable polymorph in this dataset is 0.209 eV per atom. Its crystal system is orthorhombic. Its calculated volume is 117.77 Å³ per cell.

Cell lengths 6.6086, 6.6086, 6.6086 Å; angles 147.99, 129.01, 61.49 degrees
Last column: nearest neighbours and their distance in Å.
Fractional coordinates of all 4 atoms:
Cd  0.9697  0.9697  0.0000  2 Cd 3.02
Cd  0.7579  0.2579  0.5000  2 Cd 3.02, 2 Sc 3.13
Sc  0.5343  0.5343  0.0000  6 Cd 3.13-3.46
Ba  0.2382  0.7382  0.5000  6 Cd 3.39-3.55, 2 Ba 3.64, 2 Sc 3.67

***

BaScCd: optimized geometry, GGA-PBE.

Values from the calculation:
Its energy above the most stable polymorph in this dataset is 0.261 eV per atom. Its crystal system is trigonal. Its calculated volume is 98.81 Å³ per cell.

Cell lengths 3.7202, 3.7202, 8.2436 Å; angles 90.00, 90.00, 120.00 degrees
Last column: nearest neighbours and their distance in Å.
Fractional coordinates of all 3 atoms:
Ba  0.0000  0.0000  0.0124  3 Cd 3.61, 6 Ba 3.72, 3 Sc 3.86
Cd  0.6667  0.3333  0.3638  3 Sc 3.03
Sc  0.3333  0.6667  0.6238  3 Cd 3.03

***

BaScCd2: optimized geometry, GGA-PBE.

Values from the calculation:
Its energy above the most stable polymorph in this dataset is 0.239 eV per atom. Its crystal system is trigonal. Its calculated volume is 123.04 Å³ per cell.

Cell lengths 10.1236, 10.1236, 10.1236 Å; angles 21.59, 21.59, 21.59 degrees
Last column: nearest neighbours and their distance in Å.
Fractional coordinates of all 4 atoms:
Sc  0.2500  0.2500  0.2500  6 Cd 3.03
Ba  0.7500  0.7500  0.7500  6 Cd 3.59, 6 Ba 3.79
Cd  0.5127  0.5127  0.5127  3 Sc 3.03
Cd  0.9873  0.9873  0.9873  3 Sc 3.03

***

no.,Fermi-level density of states (states/eV per cell),E (eV per cell),energy of formation from the pure elements (eV/atom)
1,6.7,-14.54,0.240
2,2.7,-10.18,-0.024
3,2.7,-8.70,0.158
4,4.8,-10.06,0.006